Entry 1:
A plane-wave DFT calculation with PBE was carried out for a geometry-optimized CsKNa14 structure.

Energy relative to the elements = 32 meV/atom
Crystal system = tetragonal
Total magnetic moment = 0.000 μB per atom
Space group = No. 123

Cell and atoms, written as extended XYZ:
```
16
Lattice="8.346 0.000 0.000 0.000 8.346 0.000 0.000 0.000 9.830" Properties=species:S:1:pos:R:3 pbc="T T T"
Cs 0.000 0.000 0.000
K 4.173 4.173 0.000
Na 0.000 0.000 4.915
Na 0.000 4.173 0.000
Na 0.000 4.173 4.915
Na 2.142 2.142 2.813
Na 2.142 2.142 7.017
Na 2.142 6.205 2.813
Na 2.142 6.205 7.017
Na 4.173 0.000 0.000
Na 4.173 0.000 4.915
Na 4.173 4.173 4.915
Na 6.205 2.142 2.813
Na 6.205 2.142 7.017
Na 6.205 6.205 2.813
Na 6.205 6.205 7.017
```



Entry 2:
A plane-wave DFT calculation with PBE was carried out for a geometry-optimized ScRhI2O structure.

Crystal system = tetragonal
Total magnetic moment = 0.401 μB per atom
Space group = No. 123
Polymorph energy (0 for the lowest one) = 0 meV/atom
Raw formation energy = -633 meV per atom

Cell and atoms, written as extended XYZ:
```
5
Lattice="5.832 0.000 0.000 0.000 5.832 0.000 0.000 0.000 3.835" Properties=species:S:1:pos:R:3 pbc="T T T"
Sc 0.000 0.000 0.000
Rh 2.916 2.916 1.918
I 0.000 2.916 0.000
I 2.916 0.000 0.000
O 0.000 0.000 1.918
```



Entry 3:
A plane-wave DFT calculation with PBE was carried out for a geometry-optimized Dy3In3CoHg2 structure.

Energy relative to the elements = -422 meV/atom
Crystal system = hexagonal
Total magnetic moment = 0.000 μB per atom
Space group = No. 189

Cell and atoms, written as extended XYZ:
```
9
Lattice="7.686 0.000 0.000 -3.843 6.657 0.000 0.000 0.000 4.081" Properties=species:S:1:pos:R:3 pbc="T T T"
Dy -1.493 2.585 0.000
Dy 2.985 0.000 0.000
Dy 2.351 4.071 0.000
In -2.928 5.072 2.040
In 0.915 1.585 2.040
In 5.856 0.000 2.040
Co 0.000 0.000 0.000
Hg 0.000 4.438 2.040
Hg 3.843 2.219 2.040
```



Entry 4:
A plane-wave DFT calculation with PBE was carried out for a geometry-optimized ZnMo2Se structure.

Crystal system = tetragonal
Total magnetic moment = 0.000 μB per atom
Space group = No. 123
Polymorph energy (0 for the lowest one) = 169 meV/atom
Raw formation energy = 269 meV per atom

Cell and atoms, written as extended XYZ:
```
4
Lattice="3.075 0.000 0.000 0.000 3.075 0.000 0.000 0.000 6.480" Properties=species:S:1:pos:R:3 pbc="T T T"
Zn 0.000 0.000 0.000
Mo 1.538 1.538 1.673
Mo 1.538 1.538 4.807
Se 0.000 0.000 3.240
```



Entry 5:
A plane-wave DFT calculation with PBE was carried out for a geometry-optimized Y2MgGeB structure.

Energy relative to the elements = 651 meV/atom
Crystal system = tetragonal
Total magnetic moment = 0.000 μB per atom
Space group = No. 123

Cell and atoms, written as extended XYZ:
```
5
Lattice="5.393 0.000 0.000 0.000 5.393 0.000 0.000 0.000 4.732" Properties=species:S:1:pos:R:3 pbc="T T T"
Y 0.000 2.697 0.000
Y 2.697 0.000 0.000
Mg 0.000 0.000 2.366
Ge 0.000 0.000 0.000
B 2.697 2.697 2.366
```



Entry 6:
A plane-wave DFT calculation with PBE was carried out for a geometry-optimized Tb2PrDySc4 structure.

Energy relative to the elements = 64 meV/atom
Crystal system = monoclinic
Total magnetic moment = 0.000 μB per atom
Space group = No. 10

Cell and atoms, written as extended XYZ:
```
8
Lattice="5.960 0.000 0.000 0.000 3.451 0.000 -2.004 0.000 11.005" Properties=species:S:1:pos:R:3 pbc="T T T"
Tb 0.000 0.000 0.000
Tb -1.002 1.726 5.502
Pr 1.978 0.000 5.502
Dy 2.980 1.726 0.000
Sc 0.985 1.726 2.728
Sc -0.017 0.000 8.273
Sc 3.973 0.000 2.732
Sc 2.971 1.726 8.277
```



Entry 7:
A plane-wave DFT calculation with PBE was carried out for a geometry-optimized CuTcNiRh structure.

Energy relative to the elements = 210 meV/atom
Crystal system = cubic
Total magnetic moment = 0.303 μB per atom
Space group = No. 216

Cell and atoms, written as extended XYZ:
```
4
Lattice="0.000 2.980 2.980 2.980 0.000 2.980 2.980 2.980 0.000" Properties=species:S:1:pos:R:3 pbc="T T T"
Cu 0.000 0.000 0.000
Tc 2.980 2.980 2.980
Ni 4.470 4.470 4.470
Rh 1.490 1.490 1.490
```



Entry 8:
A plane-wave DFT calculation with PBE was carried out for a geometry-optimized NdAgBi2 structure.

Energy relative to the elements = -101 meV/atom
Crystal system = trigonal
Total magnetic moment = 0.000 μB per atom
Space group = No. 166

Cell and atoms, written as extended XYZ:
```
4
Lattice="1.792 1.035 11.003 -1.792 1.035 11.003 0.000 -2.069 11.003" Properties=species:S:1:pos:R:3 pbc="T T T"
Nd 0.000 0.000 0.000
Ag 0.000 0.000 16.505
Bi 0.000 0.000 13.714
Bi 0.000 0.000 19.296
```



Entry 9:
A plane-wave DFT calculation with PBE was carried out for a geometry-optimized Sm6SiPb2 structure.

Crystal system = hexagonal
Total magnetic moment = 0.603 μB per atom
Space group = No. 189
Raw formation energy = -476 meV per atom

Cell and atoms, written as extended XYZ:
```
9
Lattice="8.490 0.000 0.000 -4.245 7.353 0.000 0.000 0.000 4.359" Properties=species:S:1:pos:R:3 pbc="T T T"
Sm -1.689 2.925 0.000
Sm -3.205 5.550 2.180
Sm 1.041 1.803 2.180
Sm 3.378 0.000 0.000
Sm 2.556 4.428 0.000
Sm 6.409 0.000 2.180
Si 0.000 0.000 0.000
Pb 0.000 4.902 2.180
Pb 4.245 2.451 2.180
```



Entry 10:
A plane-wave DFT calculation with PBE was carried out for a geometry-optimized ZrTeS structure.

Crystal system = monoclinic
Total magnetic moment = 0.000 μB per atom
Space group = No. 12
Polymorph energy (0 for the lowest one) = 1 meV/atom
Raw formation energy = -1202 meV per atom

Cell and atoms, written as extended XYZ:
```
6
Lattice="7.490 -1.918 0.000 7.490 1.918 0.000 -2.506 0.000 6.130" Properties=species:S:1:pos:R:3 pbc="T T T"
Zr 3.073 0.000 1.615
Zr 9.402 0.000 4.515
Te -0.289 0.000 4.938
Te 12.764 0.000 1.192
S 3.555 0.000 4.143
S 8.919 0.000 1.988
```



Entry 11:
A plane-wave DFT calculation with PBE was carried out for a geometry-optimized SrZnCu2 structure.

Energy relative to the elements = 43 meV/atom
Crystal system = monoclinic
Total magnetic moment = 0.000 μB per atom
Space group = No. 6

Cell and atoms, written as extended XYZ:
```
4
Lattice="3.749 0.000 0.000 0.000 3.898 0.000 -1.819 0.000 5.848" Properties=species:S:1:pos:R:3 pbc="T T T"
Sr 0.000 0.000 0.000
Zn 1.927 1.949 2.536
Cu 0.059 0.000 2.962
Cu 0.053 1.949 4.321
```



Entry 12:
A plane-wave DFT calculation with PBE was carried out for a geometry-optimized RbHg2O2 structure.

Crystal system = triclinic
Total magnetic moment = 0.000 μB per atom
Space group = No. 2
Polymorph energy (0 for the lowest one) = 0 meV/atom
Raw formation energy = -601 meV per atom

Cell and atoms, written as extended XYZ:
```
10
Lattice="6.242 0.000 0.000 2.324 5.843 0.000 0.120 2.168 6.809" Properties=species:S:1:pos:R:3 pbc="T T T"
Rb 1.653 1.144 0.392
Rb 7.033 6.867 6.417
Hg 1.456 2.343 3.711
Hg 4.062 5.032 4.226
Hg 4.624 2.979 2.583
Hg 7.230 5.668 3.098
O 1.663 4.713 4.789
O 4.296 6.950 5.295
O 4.390 1.062 1.513
O 7.023 3.299 2.020
```



What is the total magnetic moment in the seventh record?
0.303 μB per atom